1.
# Ac2Sm3In2 | the Alexandria database | PBE | optimized geometry
data_Ac2Sm3In2
_chemical_formula_sum 'Ac4 Sm6 In4'
_space_group_name_H-M_alt 'C 1 2/m 1'
_space_group_IT_number 12
_cell_length_a 12.554
_cell_length_b 4.895
_cell_length_c 8.605
_cell_angle_alpha 90.00
_cell_angle_beta 109.87
_cell_angle_gamma 90.00
loop_
_space_group_symop_operation_xyz
'x,y,z'
'-x,-y,-z'
'-x,y,-z'
'x,-y,z'
'x+1/2,y+1/2,z'
'-x+1/2,-y+1/2,-z'
'-x+1/2,y+1/2,-z'
'x+1/2,-y+1/2,z'
loop_
_atom_site_label
_atom_site_type_symbol
_atom_site_fract_x
_atom_site_fract_y
_atom_site_fract_z
_atom_site_occupancy
Ac1 Ac 0.140 0.000 0.284 1
Sm1 Sm 0.000 0.500 0.500 1
Sm2 Sm 0.132 0.500 0.944 1
In1 In 0.155 0.000 0.709 1
# Density in kg/m³: 7578
# Formation energy from the elements in eV/atom: -0.208
# Total magnetization in μB per formula unit: 0.00
# N(E_F) in states/eV/f.u.: 10.1

2.
# AcSm4In2 | the Alexandria database | PBE | optimized geometry
data_AcSm4In2
_chemical_formula_sum 'Ac2 Sm8 In4'
_space_group_name_H-M_alt 'I 4/m m m'
_space_group_IT_number 139
_space_group_name_Hall '-I 4 2'
_cell_length_a 6.166
_cell_length_b 6.166
_cell_length_c 12.370
_cell_angle_alpha 90.00
_cell_angle_beta 90.00
_cell_angle_gamma 90.00
loop_
_atom_site_label
_atom_site_type_symbol
_atom_site_fract_x
_atom_site_fract_y
_atom_site_fract_z
_atom_site_occupancy
Ac1 Ac 0.000 0.000 0.000 1
Sm1 Sm 0.000 0.500 0.000 1
Sm2 Sm 0.000 0.500 0.250 1
In1 In 0.000 0.000 0.372 1
# Density in kg/m³: 7472
# Formation energy from the elements in eV/atom: 0.161
# Total magnetization in μB per formula unit: 0.00
# N(E_F) in states/eV/f.u.: 7.8